P.
First-principles (PBE-GGA) data for crystalline Pm2TmAu at its relaxed geometry, as listed in Alexandria via LeMat-Bulk.

```
Pm2TmAu
1.0
-3.5468 -0.7985 -0.8246
-1.1523 -3.5451 -0.0376
-3.9921 -0.7632 9.4836
Au Pm Tm
1 2 1
Direct
0.6669 0.6669 0.9992 Au
0.2607 0.2607 0.2180 Pm
0.0729 0.0729 0.7813 Pm
0.4995 0.4995 0.5015 Tm
```

Computed properties:
Space group = No. 160
ρ = 8.97 Mg/m³

---

Q.
First-principles (PBE-GGA) data for crystalline Pm2TmAu at its relaxed geometry, as listed in Alexandria via LeMat-Bulk.

```
Pm2TmAu
1.0
3.7118 0.0000 0.0000
0.0000 3.7118 0.0000
0.0000 0.0000 8.4001
Au Tm Pm
1 1 2
Direct
0.5000 0.5000 0.0000 Au
0.5000 0.5000 0.5000 Tm
0.0000 0.0000 0.2140 Pm
0.0000 0.0000 0.7860 Pm
```

Computed properties:
Space group = No. 123
ρ = 9.41 Mg/m³

---

Last place for stability: P

---

P.
First-principles (PBE-GGA) data for crystalline PmTm2Au at its relaxed geometry, as listed in Alexandria via LeMat-Bulk.

```
PmTm2Au
1.0
-3.2217 -3.6583 0.5209
5.8348 -1.5235 2.3110
-2.0259 2.7727 6.9429
Au Pm Tm
2 2 4
Direct
0.2053 0.4105 0.2500 Au
0.7947 0.5895 0.7500 Au
0.9529 0.9058 0.2500 Pm
0.0471 0.0942 0.7500 Pm
0.6465 0.2931 0.4631 Tm
0.6465 0.2931 0.0369 Tm
0.3535 0.7069 0.5369 Tm
0.3535 0.7069 0.9631 Tm
```

Computed properties:
Space group = No. 63
ρ = 9.95 Mg/m³

---

Q.
First-principles (PBE-GGA) data for crystalline PmTm2Au at its relaxed geometry, as listed in Alexandria via LeMat-Bulk.

```
PmTm2Au
1.0
3.7291 0.0000 0.0000
1.8646 3.2295 0.0000
1.8646 1.0765 9.7636
Tm Pm Au
2 1 1
Direct
0.0673 0.0673 0.7980 Tm
0.2656 0.2656 0.2033 Tm
0.5013 0.5013 0.4960 Pm
0.6658 0.6658 0.0027 Au
```

Computed properties:
Space group = No. 160
ρ = 9.60 Mg/m³

---

R.
First-principles (PBE-GGA) data for crystalline PmTm2Au at its relaxed geometry, as listed in Alexandria via LeMat-Bulk.

```
PmTm2Au
1.0
-0.1728 -4.7181 -0.3368
2.0865 0.2250 -4.2223
4.2248 -0.3026 2.0716
Tm Pm Au
2 1 1
Direct
0.0000 0.0000 0.5000 Tm
0.0000 0.5000 0.0000 Tm
0.5000 0.5000 0.5000 Pm
0.5000 0.0000 0.0000 Au
```

Computed properties:
Space group = No. 123
ρ = 10.73 Mg/m³

---

S.
First-principles (PBE-GGA) data for crystalline PmTm2Au at its relaxed geometry, as listed in Alexandria via LeMat-Bulk.

```
PmTm2Au
1.0
3.6998 0.0000 0.0000
1.8499 3.2041 0.0000
1.8499 1.0680 9.8807
Tm Au Pm
2 1 1
Direct
0.7344 0.7344 0.7968 Tm
0.2656 0.2656 0.2032 Tm
0.0000 0.0000 0.0000 Au
0.5000 0.5000 0.5000 Pm
```

Computed properties:
Space group = No. 166
ρ = 9.64 Mg/m³

---

Last place for stability: R

---

P.
First-principles (PBE-GGA) data for crystalline PmTm2Au2 at its relaxed geometry, as listed in Alexandria via LeMat-Bulk.

```
PmTm2Au2
1.0
3.7693 0.0000 0.0000
0.0000 8.1796 0.0000
0.0000 0.0000 8.1796
Tm Au Pm
4 4 2
Direct
0.0000 0.3394 0.6606 Tm
0.0000 0.1606 0.1606 Tm
0.0000 0.6606 0.3394 Tm
0.0000 0.8394 0.8394 Tm
0.5000 0.3681 0.3681 Au
0.5000 0.1319 0.8681 Au
0.5000 0.8681 0.1319 Au
0.5000 0.6319 0.6319 Au
0.5000 0.0000 0.5000 Pm
0.5000 0.5000 0.0000 Pm
```

Computed properties:
Space group = No. 127
ρ = 11.55 Mg/m³

---

Q.
First-principles (PBE-GGA) data for crystalline PmTm2Au2 at its relaxed geometry, as listed in Alexandria via LeMat-Bulk.

```
PmTm2Au2
1.0
-2.7402 -3.4540 -2.0230
4.3211 -2.5098 -1.5678
-0.6277 -5.0369 9.4499
Pm Tm Au
2 4 4
Direct
0.2500 0.6993 0.2378 Pm
0.7500 0.3007 0.7622 Pm
0.7500 0.7498 0.4938 Tm
0.7500 0.1730 0.1116 Tm
0.2500 0.2502 0.5062 Tm
0.2500 0.8270 0.8884 Tm
0.7500 0.6630 0.0132 Au
0.2500 0.7725 0.6284 Au
0.2500 0.3370 0.9868 Au
0.7500 0.2275 0.3716 Au
```

Computed properties:
Space group = No. 11
ρ = 10.73 Mg/m³

---

Last place for stability: Q

---

P.
First-principles (PBE-GGA) data for crystalline Pm3TmAu4 at its relaxed geometry, as listed in Alexandria via LeMat-Bulk.

```
Pm3TmAu4
1.0
-0.1477 2.2864 -2.8281
-3.2382 1.2056 1.1438
6.7082 10.3848 8.0453
Au Pm Tm
4 3 1
Direct
0.0000 0.0000 0.6259 Au
0.0000 0.0000 0.1123 Au
0.0000 0.0000 0.8877 Au
0.0000 0.0000 0.3741 Au
0.5000 0.5000 0.2455 Pm
0.5000 0.5000 0.5000 Pm
0.5000 0.5000 0.7545 Pm
0.5000 0.5000 0.0000 Tm
```

Computed properties:
Space group = No. 123
ρ = 11.83 Mg/m³

---

Q.
First-principles (PBE-GGA) data for crystalline Pm3TmAu4 at its relaxed geometry, as listed in Alexandria via LeMat-Bulk.

```
Pm3TmAu4
1.0
3.9336 0.0000 0.0000
0.0000 7.0025 -0.7622
-1.9668 -2.6480 8.2136
Au Pm Tm
4 3 1
Direct
0.3729 0.5798 0.7459 Au
0.3730 0.1664 0.7460 Au
0.6270 0.8336 0.2540 Au
0.6271 0.4202 0.2541 Au
0.2035 0.2034 0.4071 Pm
0.7965 0.7966 0.5929 Pm
0.0000 0.5000 0.0000 Pm
0.5000 0.0000 0.0000 Tm
```

Computed properties:
Space group = No. 71
ρ = 10.59 Mg/m³

---

Last place for stability: Q

---

P.
First-principles (PBE-GGA) data for crystalline Pm2TmAu4 at its relaxed geometry, as listed in Alexandria via LeMat-Bulk.

```
Pm2TmAu4
1.0
-3.5622 -3.0679 2.2822
3.8235 -2.8913 2.0812
-0.0797 6.8376 3.0842
Pm Au Tm
2 4 1
Direct
0.2778 0.2778 0.5555 Pm
0.7222 0.7222 0.4445 Pm
0.1140 0.6140 0.2281 Au
0.8860 0.3860 0.7719 Au
0.3860 0.8860 0.7719 Au
0.6140 0.1140 0.2281 Au
0.0000 0.0000 0.0000 Tm
```

Computed properties:
Space group = No. 139
ρ = 11.61 Mg/m³

---

Q.
First-principles (PBE-GGA) data for crystalline Pm2TmAu4 at its relaxed geometry, as listed in Alexandria via LeMat-Bulk.

```
Pm2TmAu4
1.0
-3.1029 -3.3424 -2.6424
4.2320 -2.0386 -2.3908
0.1407 -2.3467 8.0602
Pm Tm Au
2 1 4
Direct
0.6209 0.6209 0.2418 Pm
0.3791 0.3791 0.7582 Pm
0.0000 0.0000 0.0000 Tm
0.8154 0.8154 0.6307 Au
0.5000 0.0000 0.0000 Au
0.1846 0.1846 0.3693 Au
0.0000 0.5000 0.0000 Au
```

Computed properties:
Space group = No. 139
ρ = 9.91 Mg/m³

---

Last place for stability: Q

---

P.
First-principles (PBE-GGA) data for crystalline PmTmZnAu at its relaxed geometry, as listed in Alexandria via LeMat-Bulk.

```
PmTmZnAu
1.0
5.1098 0.0000 0.0000
2.5549 4.4252 0.0000
2.5549 1.4751 4.1721
Pm Au Zn Tm
1 1 1 1
Direct
0.7500 0.7500 0.7500 Pm
0.5000 0.5000 0.5000 Au
0.0000 0.0000 0.0000 Zn
0.2500 0.2500 0.2500 Tm
```

Computed properties:
Space group = No. 216
ρ = 10.14 Mg/m³

---

Q.
First-principles (PBE-GGA) data for crystalline PmTmZnAu at its relaxed geometry, as listed in Alexandria via LeMat-Bulk.

```
PmTmZnAu
1.0
-2.7218 2.0311 -1.2238
-2.2843 -1.7457 2.1831
1.2679 4.8214 5.1821
Au Pm Zn Tm
1 1 1 1
Direct
0.0000 0.0000 0.3313 Au
0.5000 0.5000 0.6124 Pm
0.0000 0.0000 0.8758 Zn
0.5000 0.5000 0.1085 Tm
```

Computed properties:
Space group = No. 99
ρ = 10.21 Mg/m³

---

Last place for stability: P

---

P.
First-principles (PBE-GGA) data for crystalline PmYAu2 at its relaxed geometry, as listed in Alexandria via LeMat-Bulk.

```
PmYAu2
1.0
-3.2154 -1.2515 -1.5729
1.8193 -4.3706 -0.2415
-0.4291 -0.5023 5.8586
Y Au Pm
1 2 1
Direct
0.4449 0.5000 0.4285 Y
0.1698 0.5000 0.8783 Au
0.9946 0.0000 0.5288 Au
0.7217 0.0000 0.9824 Pm
```

Computed properties:
Space group = No. 38
ρ = 10.39 Mg/m³

---

Q.
First-principles (PBE-GGA) data for crystalline PmYAu2 at its relaxed geometry, as listed in Alexandria via LeMat-Bulk.

```
PmYAu2
1.0
4.0727 0.0000 0.0000
2.0363 3.5270 0.0000
2.0363 1.1757 7.5879
Au Pm Y
2 1 1
Direct
0.2465 0.2465 0.2604 Au
0.0864 0.0864 0.7406 Au
0.6682 0.6682 0.9955 Pm
0.4988 0.4988 0.5035 Y
```

Computed properties:
Space group = No. 160
ρ = 9.56 Mg/m³

---

R.
First-principles (PBE-GGA) data for crystalline PmYAu2 at its relaxed geometry, as listed in Alexandria via LeMat-Bulk.

```
PmYAu2
1.0
3.6282 0.0000 0.0000
0.0000 3.6282 0.0000
0.0000 0.0000 7.3749
Au Y Pm
2 1 1
Direct
0.0000 0.0000 0.2355 Au
0.0000 0.0000 0.7645 Au
0.5000 0.5000 0.0000 Y
0.5000 0.5000 0.5000 Pm
```

Computed properties:
Space group = No. 123
ρ = 10.74 Mg/m³

---

S.
First-principles (PBE-GGA) data for crystalline PmYAu2 at its relaxed geometry, as listed in Alexandria via LeMat-Bulk.

```
PmYAu2
1.0
-1.1894 4.8953 1.1487
-2.3808 1.1041 4.4510
2.5543 2.4668 3.7535
Y Pm Au
1 1 2
Direct
0.0000 0.0000 0.0000 Y
0.5000 0.5000 0.5000 Pm
0.7500 0.7500 0.7500 Au
0.2500 0.2500 0.2500 Au
```

Computed properties:
Space group = No. 225
ρ = 10.69 Mg/m³

---

Last place for stability: Q

---

P.
First-principles (PBE-GGA) data for crystalline PmY2Au at its relaxed geometry, as listed in Alexandria via LeMat-Bulk.

```
PmY2Au
1.0
-1.9878 -4.5213 -0.8852
5.8643 0.7679 -2.8402
3.4446 -2.7608 6.3658
Pm Y Au
2 4 2
Direct
0.0462 0.0925 0.7500 Pm
0.9538 0.9075 0.2500 Pm
0.3542 0.7084 0.9666 Y
0.6458 0.2916 0.0334 Y
0.6458 0.2916 0.4666 Y
0.3542 0.7084 0.5334 Y
0.2008 0.4016 0.2500 Au
0.7992 0.5984 0.7500 Au
```

Computed properties:
Space group = No. 63
ρ = 7.33 Mg/m³

---

Q.
First-principles (PBE-GGA) data for crystalline PmY2Au at its relaxed geometry, as listed in Alexandria via LeMat-Bulk.

```
PmY2Au
1.0
3.7442 0.0000 0.0000
1.8721 3.2425 0.0000
1.8721 1.0808 10.0238
Y Pm Au
2 1 1
Direct
0.7347 0.7347 0.7958 Y
0.2653 0.2653 0.2042 Y
0.5000 0.5000 0.5000 Pm
0.0000 0.0000 0.0000 Au
```

Computed properties:
Space group = No. 166
ρ = 7.09 Mg/m³

---

R.
First-principles (PBE-GGA) data for crystalline PmY2Au at its relaxed geometry, as listed in Alexandria via LeMat-Bulk.

```
PmY2Au
1.0
-3.2747 -1.4652 -1.2158
-2.0148 -2.2722 2.2641
-6.5844 6.5757 3.9087
Pm Y Au
1 2 1
Direct
0.5011 0.5011 0.4966 Pm
0.2654 0.2654 0.2038 Y
0.0676 0.0676 0.7972 Y
0.6659 0.6659 0.0024 Au
```

Computed properties:
Space group = No. 160
ρ = 7.05 Mg/m³

---

Last place for stability: Q

---

P.
First-principles (PBE-GGA) data for crystalline PmY2Au at its relaxed geometry, as listed in Alexandria via LeMat-Bulk.

```
PmY2Au
1.0
-3.9407 3.5128 4.1272
1.8338 -4.1989 5.3248
7.6556 6.0660 2.1468
Y Pm Au
8 4 4
Direct
0.3187 0.1846 0.0535 Y
0.6813 0.8154 0.5535 Y
0.8187 0.3154 0.9465 Y
0.6813 0.8154 0.9465 Y
0.8187 0.3154 0.5535 Y
0.1813 0.6846 0.4465 Y
0.1813 0.6846 0.0535 Y
0.3187 0.1846 0.4465 Y
0.3717 0.4961 0.7500 Pm
0.1283 0.9961 0.7500 Pm
0.8717 0.0039 0.2500 Pm
0.6283 0.5039 0.2500 Pm
0.0626 0.3940 0.2500 Au
0.5626 0.1060 0.7500 Au
0.9374 0.6060 0.7500 Au
0.4374 0.8940 0.2500 Au
```

Computed properties:
Space group = No. 62
ρ = 7.33 Mg/m³

---

Q.
First-principles (PBE-GGA) data for crystalline PmY2Au at its relaxed geometry, as listed in Alexandria via LeMat-Bulk.

```
PmY2Au
1.0
3.6427 0.0000 0.0000
0.0000 3.6427 0.0000
0.0000 0.0000 8.6050
Y Pm Au
2 1 1
Direct
0.0000 0.0000 0.2026 Y
0.0000 0.0000 0.7974 Y
0.5000 0.5000 0.5000 Pm
0.5000 0.5000 0.0000 Au
```

Computed properties:
Space group = No. 123
ρ = 7.56 Mg/m³

---

Last place for stability: Q

---

P.
First-principles (PBE-GGA) data for crystalline Pm2YAu3 at its relaxed geometry, as listed in Alexandria via LeMat-Bulk.

```
Pm2YAu3
1.0
-2.9883 -1.7134 -1.1860
1.2518 0.1817 -3.4165
5.0810 -9.7899 1.3409
Au Pm Y
3 2 1
Direct
0.0000 0.0000 0.6575 Au
0.0000 0.0000 0.0000 Au
0.0000 0.0000 0.3425 Au
0.5000 0.5000 0.1692 Pm
0.5000 0.5000 0.8308 Pm
0.5000 0.5000 0.5000 Y
```

Computed properties:
Space group = No. 123
ρ = 10.92 Mg/m³

---

Q.
First-principles (PBE-GGA) data for crystalline Pm2YAu3 at its relaxed geometry, as listed in Alexandria via LeMat-Bulk.

```
Pm2YAu3
1.0
3.6437 0.0000 0.0000
0.0000 5.1834 0.0000
0.0000 0.0000 15.6364
Y Au Pm
2 6 4
Direct
0.0008 0.0000 0.0000 Y
0.9992 0.5000 0.5000 Y
0.5017 0.0000 0.1600 Au
0.4983 0.5000 0.6600 Au
0.4983 0.5000 0.3400 Au
0.5005 0.0000 0.5000 Au
0.4995 0.5000 0.0000 Au
0.5017 0.0000 0.8400 Au
0.9994 0.0000 0.3328 Pm
0.0006 0.5000 0.1672 Pm
0.0006 0.5000 0.8328 Pm
0.9994 0.0000 0.6672 Pm
```

Computed properties:
Space group = No. 59
ρ = 10.91 Mg/m³

---

Last place for stability: Q